Entry 1:
DFT (PBEsol) results for a relaxed structure of Ta2NiSnI.

Calculated values
Size of the total moment in μB/cell: 0.00
VASP energy in eV/atom: -5.869

Structure (POSCAR):
```
Ta2NiSnI
1.0
4.381 0.000 0.000
0.000 5.051 0.000
0.000 0.000 5.051
Ta I Sn Ni
2 1 1 1
direct
0.000 0.000 0.500
0.000 0.500 0.000
0.000 0.000 0.000
0.500 0.500 0.500
0.500 0.000 0.000
```



Entry 2:
DFT (PBEsol) results for a relaxed structure of Sr2NiI.

Calculated values
Size of the total moment in μB/cell: 0.00
VASP energy in eV/atom: -3.163

Structure (POSCAR):
```
Sr2NiI
1.0
5.479 0.000 0.000
2.740 4.745 0.000
2.740 1.582 4.474
I Sr Ni
1 2 1
direct
0.500 0.500 0.500
0.750 0.750 0.750
0.250 0.250 0.250
0.000 0.000 0.000
```



Entry 3:
DFT (PBEsol) results for a relaxed structure of TaNi3I.

Calculated values
Size of the total moment in μB/cell: 0.00
VASP energy in eV/atom: -5.207

Structure (POSCAR):
```
TaNi3I
1.0
4.587 0.000 0.000
0.000 4.587 0.000
0.000 0.000 4.587
I Ni Ta
1 3 1
direct
0.500 0.500 0.500
0.500 0.000 0.000
0.000 0.500 0.000
0.000 0.000 0.500
0.000 0.000 0.000
```



Entry 4:
DFT (PBEsol) results for a relaxed structure of Ta3NiI.

Calculated values
Size of the total moment in μB/cell: 1.21
VASP energy in eV/atom: -6.585

Structure (POSCAR):
```
Ta3NiI
1.0
-3.172 3.640 -0.811
-3.628 -2.767 1.774
0.861 1.751 4.490
Ta I Ni
3 1 1
direct
0.500 0.000 0.000
0.000 0.000 0.500
0.000 0.500 0.000
0.000 0.000 0.000
0.500 0.500 0.500
```



Entry 5:
DFT (PBEsol) results for a relaxed structure of Ta2NiI.

Calculated values
Size of the total moment in μB/cell: 0.00
VASP energy in eV/atom: -7.659

Structure (POSCAR):
```
Ta2NiI
1.0
4.557 0.000 0.000
2.279 3.947 0.000
2.279 1.316 3.721
Ta I Ni
2 1 1
direct
0.750 0.750 0.750
0.250 0.250 0.250
0.500 0.500 0.500
0.000 0.000 0.000
```



Entry 6:
DFT (PBEsol) results for a relaxed structure of Tb7NiI12.

Calculated values
Size of the total moment in μB/cell: 0.00
VASP energy in eV/atom: -4.336

Structure (POSCAR):
```
Tb7NiI12
1.0
9.461 0.000 0.000
-2.832 9.027 0.000
-2.832 -3.857 8.162
I Tb Ni
12 7 1
direct
0.769 0.924 0.321
0.076 0.679 0.231
0.393 0.476 0.154
0.679 0.231 0.076
0.846 0.607 0.524
0.607 0.524 0.846
0.321 0.769 0.924
0.524 0.846 0.607
0.924 0.321 0.769
0.231 0.076 0.679
0.476 0.154 0.393
0.154 0.393 0.476
0.969 0.697 0.899
0.899 0.969 0.697
0.031 0.303 0.101
0.500 0.500 0.500
0.101 0.031 0.303
0.697 0.899 0.969
0.303 0.101 0.031
0.000 0.000 0.000
```



Entry 7:
DFT (PBEsol) results for a relaxed structure of TlTc2NiI.

Calculated values
Size of the total moment in μB/cell: 6.22
VASP energy in eV/atom: -5.122

Structure (POSCAR):
```
TlTc2NiI
1.0
-1.836 -2.817 -3.292
4.325 -1.407 -1.209
-0.272 -3.655 3.280
Tc I Ni Tl
2 1 1 1
direct
0.000 0.500 0.000
0.500 0.000 0.000
0.000 0.000 0.500
0.000 0.000 0.000
0.500 0.500 0.500
```



Entry 8:
DFT (PBEsol) results for a relaxed structure of ZnNiTe2I.

Calculated values
Size of the total moment in μB/cell: 0.00
VASP energy in eV/atom: -2.925

Structure (POSCAR):
```
ZnNiTe2I
1.0
5.004 0.000 0.000
0.000 5.004 0.000
0.000 0.000 5.180
Te I Zn Ni
2 1 1 1
direct
0.500 0.000 0.000
0.000 0.500 0.000
0.000 0.000 0.500
0.500 0.500 0.500
0.000 0.000 0.000
```



Entry 9:
DFT (PBEsol) results for a relaxed structure of Ti3NiI.

Calculated values
Size of the total moment in μB/cell: 0.00
VASP energy in eV/atom: -6.258

Structure (POSCAR):
```
Ti3NiI
1.0
-0.895 4.006 -2.000
-3.994 0.207 2.204
2.024 2.181 3.464
Ti I Ni
3 1 1
direct
0.500 0.000 0.000
0.000 0.000 0.500
0.000 0.500 0.000
0.500 0.500 0.500
0.000 0.000 0.000
```



Entry 10:
DFT (PBEsol) results for a relaxed structure of TiTl2NiI.

Calculated values
Size of the total moment in μB/cell: 1.63
VASP energy in eV/atom: -4.090

Structure (POSCAR):
```
TiTl2NiI
1.0
-0.108 1.094 4.611
-4.541 -2.259 0.429
2.296 -4.407 1.099
Ti I Tl Ni
1 1 2 1
direct
0.500 0.000 0.000
0.500 0.500 0.500
0.000 0.500 0.000
0.000 0.000 0.500
0.000 0.000 0.000
```



Entry 11:
DFT (PBEsol) results for a relaxed structure of Y2TiNiI.

Calculated values
Size of the total moment in μB/cell: 2.27
VASP energy in eV/atom: -5.334

Structure (POSCAR):
```
Y2TiNiI
1.0
-4.470 0.087 0.469
0.531 -1.466 5.339
0.256 5.365 1.448
Y Ni Ti I
2 1 1 1
direct
0.000 0.000 0.500
0.000 0.500 0.000
0.500 0.000 0.000
0.500 0.500 0.500
0.000 0.000 0.000
```



Entry 12:
DFT (PBEsol) results for a relaxed structure of NiWI2.

Calculated values
Size of the total moment in μB/cell: 0.00
VASP energy in eV/atom: -4.800

Structure (POSCAR):
```
NiWI2
1.0
4.700 0.000 0.000
2.350 4.070 0.000
2.350 1.357 3.837
Ni I W
1 2 1
direct
0.000 0.000 0.000
0.250 0.250 0.250
0.750 0.750 0.750
0.500 0.500 0.500
```



What did the eighth record say?
DFT (PBEsol) results for a relaxed structure of ZnNiTe2I.

Calculated values
Size of the total moment in μB/cell: 0.00
VASP energy in eV/atom: -2.925

Structure (POSCAR):
```
ZnNiTe2I
1.0
5.004 0.000 0.000
0.000 5.004 0.000
0.000 0.000 5.180
Te I Zn Ni
2 1 1 1
direct
0.500 0.000 0.000
0.000 0.500 0.000
0.000 0.000 0.500
0.500 0.500 0.500
0.000 0.000 0.000
```



Which of these has the highest size of the total moment?
TlTc2NiI